DFT (GGA-PBE) results for an optimized crystal structure of NaMgTc2I.

The calculation puts the density of states at the Fermi level at 2.223 states/eV/cell. The calculation puts the formation energy (no corrections) at 142.8 kJ per mole of atoms. As for the total magnetization: 0.412 μB per atom.

It has space group P4/mmm (No. 123), with a = 4.937 Å, b = 4.937 Å, c = 5.401 Å, α = 90.00°, β = 90.00° and γ = 90.00°. The inequivalent atoms are Na at (0.000, 0.000, 0.000), Mg at (0.500, 0.500, 0.000), Tc at (0.000, 0.500, 0.500) and I at (0.500, 0.500, 0.500).